[1]
This record from Alexandria via LeMat-Bulk describes a relaxed ZnFeMo2 crystal. The functional is PBE.

Cell: 4.913 4.913 2.613 Å, 90.00 90.00 114.75°
Site moments in Bohr magnetons follow the coordinates.
Fractional positions:
Fe 0.000 0.500 0.500  2.15
Mo 0.000 0.000 0.000  0.02
Mo 0.500 0.500 0.000  0.02
Zn 0.500 0.000 0.500  -0.01

Energy of formation = 0.187 eV/atom
Size of the total moment = 2.19 μB/cell
Space-group type = No. 65
E_tot = -7.663 eV per atom

[2]
This record from Alexandria via LeMat-Bulk describes a relaxed Lu2HgMo crystal. The functional is PBE.

Cell: 3.474 3.474 7.422 Å, 90.00 90.00 90.00°
Fractional positions:
Mo 0.500 0.500 0.000
Lu 0.000 0.000 0.774
Lu 0.000 0.000 0.226
Hg 0.500 0.500 0.500

Energy of formation = -0.070 eV/atom
Size of the total moment = 0.00 μB/cell
Space-group type = No. 123
E_tot = -5.114 eV per atom